[1]
## ScInTe (GGA-PBE)

Data for ScInTe after structural relaxation.

The calculation puts the spin magnetization at 0.0 μB per formula unit. As for the space group: R-3m, No. 166.

Lattice parameters (Å, degrees): 10.0695 10.0695 10.0695 26.51 26.51 26.51
With the nearest neighbours (Å) after each atom.
Positions (direct):
Sc 0.0686 0.0686 0.0686  3 Te 2.93, 3 In 3.07
Sc 0.9314 0.9314 0.9314  3 Te 2.93, 3 In 3.07
In 0.3496 0.3496 0.3496  3 In 2.83, 3 Sc 3.07
In 0.6504 0.6504 0.6504  3 In 2.83, 3 Sc 3.07
Te 0.2229 0.2229 0.2229  3 Sc 2.93
Te 0.7771 0.7771 0.7771  3 Sc 2.93

***

[2]
## ScInTe (GGA-PBE)

Data for ScInTe after structural relaxation.

The calculation puts the spin magnetization at 0.0 μB per formula unit. As for the space group: F-43m, No. 216.

Lattice parameters (Å, degrees): 4.9827 4.9827 4.9827 60.00 60.00 60.00
With the nearest neighbours (Å) after each atom.
Positions (direct):
Sc 0.0000 0.0000 0.0000  4 In 3.05, 4 Te 3.05
In 0.2500 0.2500 0.2500  4 Sc 3.05
Te 0.7500 0.7500 0.7500  4 Sc 3.05

***

Formation energy without anion corrections, record by record: -0.5574; -0.2591 eV/atom
Total DFT energy (no corrections), record by record: -4.628; -4.330 eV per atom